# PBE-GGA Mn2CrPt8, optimized geometry
data_Mn2CrPt8
_space_group_name_H-M_alt 'P 1'
_space_group_IT_number 1
_cell_length_a 7.301
_cell_length_b 7.301
_cell_length_c 6.253
_cell_angle_alpha 105.89
_cell_angle_beta 105.89
_cell_angle_gamma 31.45
loop_
_space_group_symop_operation_xyz
'x,y,z'
loop_
_atom_site_label
_atom_site_type_symbol
_atom_site_fract_x
_atom_site_fract_y
_atom_site_fract_z
Mn1 Mn 0.226 0.226 0.147
Mn2 Mn 0.774 0.774 0.853
Cr1 Cr 0.500 0.500 0.500
Pt1 Pt 0.046 0.046 0.227
Pt2 Pt 0.139 0.139 0.689
Pt3 Pt 0.320 0.320 0.584
Pt4 Pt 0.404 0.404 0.049
Pt5 Pt 0.596 0.596 0.951
Pt6 Pt 0.680 0.680 0.416
Pt7 Pt 0.861 0.861 0.311
Pt8 Pt 0.954 0.954 0.773
# N(E_F) in states/eV/f.u.: 14.0

# PBE-GGA MnCrPt2, optimized geometry
data_MnCrPt2
_space_group_name_H-M_alt 'P 1'
_space_group_IT_number 1
_cell_length_a 4.783
_cell_length_b 4.783
_cell_length_c 4.783
_cell_angle_alpha 133.01
_cell_angle_beta 133.01
_cell_angle_gamma 68.63
loop_
_space_group_symop_operation_xyz
'x,y,z'
loop_
_atom_site_label
_atom_site_type_symbol
_atom_site_fract_x
_atom_site_fract_y
_atom_site_fract_z
Mn1 Mn 0.000 0.000 0.000
Cr1 Cr 0.250 0.750 0.500
Pt1 Pt 0.500 0.500 0.000
Pt2 Pt 0.750 0.250 0.500
# N(E_F) in states/eV/f.u.: 4.2

# PBE-GGA MnCrPt2, optimized geometry
data_MnCrPt2
_space_group_name_H-M_alt 'P 1'
_space_group_IT_number 1
_cell_length_a 8.771
_cell_length_b 8.771
_cell_length_c 8.771
_cell_angle_alpha 18.13
_cell_angle_beta 18.13
_cell_angle_gamma 18.13
loop_
_space_group_symop_operation_xyz
'x,y,z'
loop_
_atom_site_label
_atom_site_type_symbol
_atom_site_fract_x
_atom_site_fract_y
_atom_site_fract_z
Mn1 Mn 0.000 0.000 0.000
Cr1 Cr 0.737 0.737 0.737
Pt1 Pt 0.250 0.250 0.250
Pt2 Pt 0.488 0.488 0.488
# N(E_F) in states/eV/f.u.: 3.4

| no. | formation energy (kcal/mol of atoms) |
| --- | --- |
| 1 | -5.961 |
| 2 | -3.672 |
| 3 | -1.681 |